1.
Entry from Alexandria via LeMat-Bulk: a geometry-optimized In2TeO structure (PBE-GGA).

Cell lengths 4.9860, 4.9860, 4.9860 Å; angles 60.00, 60.00, 60.00 degrees
Element x y z (fractional)
In: 0.2500 0.2500 0.2500
In: 0.7500 0.7500 0.7500
O: 0.0000 0.0000 0.0000
Te: 0.5000 0.5000 0.5000

* spin magnetization: 0.00 Bohr magnetons per cell
* space group: Fm-3m (225)
* raw formation energy: -0.021 eV per atom
* volume: 21.9 Å³/atom
* E: -3.415 eV per atom
* offset from the most stable computed form: 0.519 eV per atom

***

2.
Entry from Alexandria via LeMat-Bulk: a geometry-optimized In2Te2O structure (PBE-GGA).

Cell lengths 6.3539, 6.3539, 5.6107 Å; angles 55.51, 55.51, 90.00 degrees
Element x y z (fractional)
O: 0.0000 0.0000 0.0000
In: 0.7072 0.7072 0.5856
In: 0.2928 0.2928 0.4144
Te: 0.7500 0.2500 0.5000
Te: 0.2500 0.7500 0.5000

* spin magnetization: 0.00 Bohr magnetons per cell
* space group: I4/mmm (139)
* raw formation energy: -0.316 eV per atom
* volume: 27.1 Å³/atom
* E: -3.659 eV per atom
* offset from the most stable computed form: 0.072 eV per atom

***

3.
Entry from Alexandria via LeMat-Bulk: a geometry-optimized In2TeO6 structure (PBE-GGA).

Cell lengths 5.4779, 5.1568, 8.8700 Å; angles 90.00, 90.00, 90.00 degrees
Element x y z (fractional)
O: 0.1965 0.3081 0.0001
O: 0.8464 0.7858 0.6577
O: 0.6536 0.2858 0.8423
O: 0.1536 0.2138 0.6579
O: 0.1536 0.2142 0.3423
O: 0.3035 0.8081 0.4999
O: 0.6536 0.2862 0.1579
O: 0.3464 0.7138 0.8421
O: 0.8464 0.7862 0.3421
O: 0.8035 0.6919 0.9999
O: 0.6965 0.1919 0.5001
O: 0.3464 0.7142 0.1577
Te: 0.5000 0.5000 0.0000
Te: 0.0000 0.0000 0.5000
In: 0.0000 0.5001 0.1961
In: 0.5000 0.0001 0.3039
In: 0.0000 0.4999 0.8039
In: 0.5000 0.9999 0.6961

* spin magnetization: 0.00 Bohr magnetons per cell
* space group: Pnnm (58)
* raw formation energy: -1.337 eV per atom
* volume: 13.9 Å³/atom
* E: -5.600 eV per atom

***

4.
Entry from Alexandria via LeMat-Bulk: a geometry-optimized In2Te2O structure (PBE-GGA).

Cell lengths 6.2960, 6.2960, 6.1803 Å; angles 90.00, 90.00, 90.00 degrees
Element x y z (fractional)
In: 0.3296 0.8296 0.0000
In: 0.1704 0.3296 0.0000
In: 0.8296 0.6704 0.0000
In: 0.6704 0.1704 0.0000
O: 0.5000 0.5000 0.0000
O: 0.0000 0.0000 0.0000
Te: 0.2565 0.7565 0.5000
Te: 0.2435 0.2565 0.5000
Te: 0.7565 0.7435 0.5000
Te: 0.7435 0.2435 0.5000

* spin magnetization: 0.00 Bohr magnetons per cell
* space group: P4/mbm (127)
* raw formation energy: -0.387 eV per atom
* volume: 24.5 Å³/atom
* E: -3.731 eV per atom
* offset from the most stable computed form: 0.000 eV per atom

***

5.
Entry from Alexandria via LeMat-Bulk: a geometry-optimized InTe3O structure (PBE-GGA).

Cell lengths 5.6069, 5.6069, 5.6069 Å; angles 90.00, 90.00, 90.00 degrees
Element x y z (fractional)
Te: 0.0000 0.0000 0.5000
Te: 0.0000 0.5000 0.0000
Te: 0.5000 0.0000 0.0000
O: 0.5000 0.5000 0.5000
In: 0.0000 0.0000 0.0000

* spin magnetization: 0.00 Bohr magnetons per cell
* space group: Pm-3m (221)
* raw formation energy: 1.110 eV per atom
* volume: 35.3 Å³/atom
* E: -2.315 eV per atom
* offset from the most stable computed form: 1.062 eV per atom

***

6.
Entry from Alexandria via LeMat-Bulk: a geometry-optimized InTe2O structure (PBE-GGA).

Cell lengths 4.9463, 4.9463, 4.9463 Å; angles 60.00, 60.00, 60.00 degrees
Element x y z (fractional)
Te: 0.2500 0.2500 0.2500
Te: 0.7500 0.7500 0.7500
In: 0.5000 0.5000 0.5000
O: 0.0000 0.0000 0.0000

* spin magnetization: 0.00 Bohr magnetons per cell
* space group: Fm-3m (225)
* raw formation energy: 0.333 eV per atom
* volume: 21.4 Å³/atom
* E: -3.162 eV per atom
* offset from the most stable computed form: 0.408 eV per atom

***

7.
Entry from Alexandria via LeMat-Bulk: a geometry-optimized InTeO4 structure (PBE-GGA).

Cell lengths 4.9371, 5.9537, 5.9342 Å; angles 112.18, 90.00, 90.00 degrees
Element x y z (fractional)
O: 0.2128 0.3265 0.1380
O: 0.1799 0.8603 0.6671
O: 0.6799 0.6397 0.3329
O: 0.7872 0.6735 0.8620
O: 0.8201 0.1397 0.3329
O: 0.7128 0.1735 0.8620
O: 0.2872 0.8265 0.1380
O: 0.3201 0.3603 0.6671
Te: 0.5000 0.5000 0.0000
Te: 0.0000 0.0000 0.0000
In: 0.0000 0.5000 0.5000
In: 0.5000 0.0000 0.5000

* spin magnetization: 0.00 Bohr magnetons per cell
* space group: P2_1/c (14)
* raw formation energy: -1.171 eV per atom
* volume: 13.5 Å³/atom
* E: -5.457 eV per atom
* offset from the most stable computed form: 0.000 eV per atom

***

8.
Entry from Alexandria via LeMat-Bulk: a geometry-optimized InTe3O structure (PBE-GGA).

Cell lengths 4.9399, 4.9399, 4.9399 Å; angles 90.00, 90.00, 90.00 degrees
Element x y z (fractional)
Te: 0.0000 0.0000 0.5000
Te: 0.0000 0.5000 0.0000
Te: 0.5000 0.0000 0.0000
In: 0.5000 0.5000 0.5000
O: 0.0000 0.0000 0.0000

* spin magnetization: 0.00 Bohr magnetons per cell
* space group: Pm-3m (221)
* raw formation energy: 0.048 eV per atom
* volume: 24.1 Å³/atom
* E: -3.377 eV per atom
* offset from the most stable computed form: 0.000 eV per atom